The following is a PBE calculation of crystalline Rb2ZnPI6 at its relaxed geometry, from Alexandria.

The calculation puts the uncorrected formation energy at -632.6 meV per atom. For the electronic total energy, the calculation gives -2.425 eV/atom.

Cell lengths 8.2597, 8.2597, 8.1439 Å; angles 59.53, 59.53, 90.00 degrees
Fractional coordinates of all 10 atoms:
I1 0.2464 0.2464 0.5072
I2 0.7536 0.7536 0.4928
I3 0.2580 0.2580 0.0000
I4 0.7420 0.7420 0.0000
I5 0.7420 0.2580 0.0000
I6 0.2580 0.7420 0.0000
P1 0.5000 0.5000 0.0000
Zn1 0.0000 0.0000 0.0000
Rb1 0.7500 0.2500 0.5000
Rb2 0.2500 0.7500 0.5000